#one
4
Lattice="-1.738 7.863 5.729 2.501 8.261 4.813 -0.483 9.672 1.971" Properties=species:S:1:pos:R:3 comment="RbLaCl2 | Alexandria via LeMat-Bulk | GGA-PBE | optimized geometry" dos_ef_per_ev_cell=2.247 pbc="T T T"
Cl 0.253 23.310 11.307
Cl 0.027 2.486 1.206
Rb 0.140 12.898 6.256
La 0.000 0.000 0.000

#two
8
Lattice="7.298 0.000 0.000 0.000 7.298 0.000 3.649 3.649 6.513" Properties=species:S:1:pos:R:3 comment="RbLaCl2 | Alexandria via LeMat-Bulk | GGA-PBE | optimized geometry" dos_ef_per_ev_cell=5.434 pbc="T T T"
Cl 5.782 1.825 1.628
Cl 1.516 5.474 1.628
Cl 5.474 5.165 4.885
Cl 9.123 9.431 4.885
Rb 3.649 3.649 0.000
Rb 3.649 7.298 3.256
La 0.000 0.000 0.000
La 7.298 3.649 3.256

#three
4
Lattice="0.000 3.760 3.760 3.760 0.000 3.760 3.760 3.760 0.000" Properties=species:S:1:pos:R:3 comment="RbLaCl2 | Alexandria via LeMat-Bulk | GGA-PBE | optimized geometry" dos_ef_per_ev_cell=5.596 pbc="T T T"
Cl 1.880 1.880 1.880
Cl 5.641 5.641 5.641
Rb 0.000 0.000 0.000
La 3.760 3.760 3.760

Preferred: #one; penalty for the next structure: 182 meV per atom.

#one
5
Lattice="5.485 0.000 0.000 0.000 5.485 0.000 0.000 0.000 5.793" Properties=species:S:1:pos:R:3 comment="RbLaSCl2 | Alexandria via LeMat-Bulk | GGA-PBE | optimized geometry" dos_ef_per_ev_cell=5.264 pbc="T T T"
S 0.000 0.000 2.896
Cl 0.000 2.743 0.000
Cl 2.743 0.000 0.000
Rb 0.000 0.000 0.000
La 2.743 2.743 2.896

#two
5
Lattice="-2.001 1.439 5.127 -4.918 -2.599 -1.189 1.975 -4.692 2.088" Properties=species:S:1:pos:R:3 comment="RbLaSCl2 | Alexandria via LeMat-Bulk | GGA-PBE | optimized geometry" dos_ef_per_ev_cell=0.000 pbc="T T T"
S 0.987 -2.346 1.044
Cl -2.459 -1.300 -0.595
Cl -1.000 0.720 2.563
Rb -2.472 -2.926 3.013
La 0.000 0.000 0.000

Preferred: #two; penalty for the next structure: 1274 meV per atom.

#one
4
Lattice="9.991 -0.028 -0.016 9.571 2.869 -0.016 9.571 1.390 2.510" Properties=species:S:1:pos:R:3 comment="LaRe2Cl | Alexandria via LeMat-Bulk | GGA-PBE | optimized geometry" dos_ef_per_ev_cell=4.398 pbc="T T T"
Re 28.790 4.181 2.448
Re 14.910 2.165 1.268
Cl 7.283 1.058 0.619
La 21.850 3.173 1.858

#two
4
Lattice="-3.999 -0.863 -0.702 1.111 -3.216 -2.378 -0.073 -3.659 4.913" Properties=species:S:1:pos:R:3 comment="LaRe2Cl | Alexandria via LeMat-Bulk | GGA-PBE | optimized geometry" dos_ef_per_ev_cell=4.121 pbc="T T T"
Re -0.067 -3.391 4.554
Re -0.042 -2.097 2.816
Cl -1.462 -2.954 -0.312
La -1.498 -4.783 2.145

Preferred: #two; penalty for the next structure: 265 meV per atom.

#one
4
Lattice="-1.117 -1.580 2.058 1.808 -2.081 -0.616 6.280 3.623 6.188" Properties=species:S:1:pos:R:3 comment="LaRe2Cl | Alexandria via LeMat-Bulk | GGA-PBE | optimized geometry" dos_ef_per_ev_cell=4.153 pbc="T T T"
Re 0.142 0.082 0.140
Re 2.998 1.729 2.953
Cl 1.916 -0.925 2.268
La 5.056 0.887 5.362

#two
4
Lattice="-1.131 -0.255 3.183 3.118 -1.406 0.995 2.955 7.733 1.670" Properties=species:S:1:pos:R:3 comment="LaRe2Cl | Alexandria via LeMat-Bulk | GGA-PBE | optimized geometry" dos_ef_per_ev_cell=2.958 pbc="T T T"
Re 0.147 0.385 0.083
Re 1.342 0.080 2.286
Cl 1.676 4.387 0.947
La 3.255 5.085 3.367

Preferred: #two; penalty for the next structure: 1206 meV per atom.

#one
4
Lattice="-0.354 3.745 -4.775 -3.645 3.423 -3.456 0.920 3.088 3.049" Properties=species:S:1:pos:R:3 comment="LaRe2Cl | Alexandria via LeMat-Bulk | GGA-PBE | optimized geometry" dos_ef_per_ev_cell=2.042 pbc="T T T"
Re -3.824 7.226 -7.779
Re -1.715 5.069 -3.044
Cl -2.310 7.692 -3.887
La -0.770 2.564 -1.296

#two
8
Lattice="4.884 0.000 0.000 0.000 4.884 0.000 2.442 2.442 7.940" Properties=species:S:1:pos:R:3 comment="LaRe2Cl | Alexandria via LeMat-Bulk | GGA-PBE | optimized geometry" dos_ef_per_ev_cell=8.636 pbc="T T T"
Re 2.210 1.221 1.985
Re 2.674 3.663 1.985
Re 3.663 5.116 5.955
Re 6.105 4.651 5.955
Cl 2.442 2.442 0.000
Cl 2.442 4.884 3.970
La 0.000 0.000 0.000
La 4.884 2.442 3.970

#three
4
Lattice="9.669 0.018 0.011 9.188 3.010 0.011 9.188 1.476 2.624" Properties=species:S:1:pos:R:3 comment="LaRe2Cl | Alexandria via LeMat-Bulk | GGA-PBE | optimized geometry" dos_ef_per_ev_cell=3.189 pbc="T T T"
Re 27.723 4.453 2.615
Re 7.131 1.145 0.673
Cl 14.119 2.268 1.332
La 21.140 3.395 1.994

#four
4
Lattice="-1.773 -2.822 0.212 1.402 -1.160 -3.716 4.688 -2.748 2.626" Properties=species:S:1:pos:R:3 comment="LaRe2Cl | Alexandria via LeMat-Bulk | GGA-PBE | optimized geometry" dos_ef_per_ev_cell=3.717 pbc="T T T"
Re 0.000 0.000 0.000
Re -0.186 -1.991 -1.752
Cl 1.458 -2.785 1.419
La 3.045 -1.954 -0.545

Preferred: #one; penalty for the next structure: 123 meV per atom.

#one
4
Lattice="4.126 -0.076 0.067 2.176 3.506 0.067 2.733 1.488 7.437" Properties=species:S:1:pos:R:3 comment="LaRe2Cl | Alexandria via LeMat-Bulk | GGA-PBE | optimized geometry" dos_ef_per_ev_cell=3.687 pbc="T T T"
Re 2.836 1.544 7.088
Re 7.054 3.840 6.603
Cl 4.225 2.300 3.476
La 2.172 1.182 1.626

#two
4
Lattice="-2.734 1.007 0.462 0.537 -1.479 -2.495 -2.276 -8.180 4.358" Properties=species:S:1:pos:R:3 comment="LaRe2Cl | Alexandria via LeMat-Bulk | GGA-PBE | optimized geometry" dos_ef_per_ev_cell=4.455 pbc="T T T"
Re -0.048 -0.171 0.091
Re -1.090 -3.919 2.088
Cl -1.667 -2.281 0.073
La -2.805 -6.371 2.252

Preferred: #one; penalty for the next structure: 1093 meV per atom.

#one
4
Lattice="6.504 0.007 -0.026 -4.279 4.897 -0.026 0.790 1.742 2.554" Properties=species:S:1:pos:R:3 comment="LaRe2Cl | Alexandria via LeMat-Bulk | GGA-PBE | optimized geometry" dos_ef_per_ev_cell=3.841 pbc="T T T"
Re 0.000 0.000 0.000
Re 1.112 2.452 -0.026
Cl 3.647 0.874 1.264
La -1.745 3.320 1.264

#two
4
Lattice="-4.050 1.332 2.146 -1.679 4.426 -0.607 -3.945 0.722 -2.587" Properties=species:S:1:pos:R:3 comment="LaRe2Cl | Alexandria via LeMat-Bulk | GGA-PBE | optimized geometry" dos_ef_per_ev_cell=5.129 pbc="T T T"
Re -2.418 1.620 -0.262
Re -7.255 4.859 -0.786
Cl 0.000 0.000 0.000
La -4.837 3.240 -0.524

Preferred: #one; penalty for the next structure: 1312 meV per atom.

#one
4
Lattice="-2.404 -1.500 -2.980 5.470 -0.209 -4.318 -3.543 -2.347 6.882" Properties=species:S:1:pos:R:3 comment="LaRe2Cl | Alexandria via LeMat-Bulk | GGA-PBE | optimized geometry" dos_ef_per_ev_cell=3.413 pbc="T T T"
Re 0.361 -0.286 -0.147
Re 1.372 -2.508 0.150
Cl -2.168 -2.373 2.942
La -2.052 -2.089 -0.127

#two
4
Lattice="-0.254 -1.756 -5.103 -4.822 -2.433 -0.105 2.087 4.924 0.767" Properties=species:S:1:pos:R:3 comment="LaRe2Cl | Alexandria via LeMat-Bulk | GGA-PBE | optimized geometry" dos_ef_per_ev_cell=1.764 pbc="T T T"
Re -4.747 -3.918 -4.870
Re -0.397 0.499 -3.516
Cl -2.739 -2.261 -2.810
La -2.719 0.129 -1.056

Preferred: #one; penalty for the next structure: 502 meV per atom.

#one
10
Lattice="-2.299 -7.942 0.092 6.464 -1.927 -4.781 1.911 -0.521 2.793" Properties=species:S:1:pos:R:3 comment="La2ReCl2 | Alexandria via LeMat-Bulk | GGA-PBE | optimized geometry" dos_ef_per_ev_cell=6.187 pbc="T T T"
Re 0.000 0.000 0.000
Re 2.083 -4.934 -2.345
Cl 4.810 -4.702 -4.167
Cl 1.995 -8.176 -2.889
Cl -0.645 -5.166 -0.522
Cl 2.170 -1.692 -1.800
La 4.951 -3.033 -1.854
La 4.664 -7.261 -2.445
La 1.125 -7.356 -0.042
La 1.413 -3.128 0.549

#two
5
Lattice="-3.783 2.230 3.535 -4.042 -3.167 -2.328 -3.189 -3.252 3.134" Properties=species:S:1:pos:R:3 comment="La2ReCl2 | Alexandria via LeMat-Bulk | GGA-PBE | optimized geometry" dos_ef_per_ev_cell=2.790 pbc="T T T"
Re 0.000 0.000 0.000
Cl -3.637 -1.526 1.566
Cl -7.376 -2.662 2.776
La -5.442 -0.745 3.637
La -5.572 -3.443 0.705

Preferred: #two; penalty for the next structure: 158 meV per atom.

#one
3
Lattice="-5.751 -4.708 1.556 -4.840 -5.686 -1.382 1.518 -2.528 1.314" Properties=species:S:1:pos:R:3 comment="LaReCl | Alexandria via LeMat-Bulk | GGA-PBE | optimized geometry" dos_ef_per_ev_cell=1.524 pbc="T T T"
Re -6.856 -7.968 0.525
Cl -10.256 -10.176 0.205
La -2.551 -5.171 0.931

#two
3
Lattice="-2.083 1.847 3.580 0.862 -4.452 -0.074 3.069 0.569 1.492" Properties=species:S:1:pos:R:3 comment="LaReCl | Alexandria via LeMat-Bulk | GGA-PBE | optimized geometry" dos_ef_per_ev_cell=4.309 pbc="T T T"
Re 1.456 0.222 3.605
Cl 2.557 0.474 1.243
La 0.903 -2.163 1.641

Preferred: #one; penalty for the next structure: 27 meV per atom.

#one
3
Lattice="4.736 0.000 0.000 2.368 4.101 0.000 2.368 1.367 3.867" Properties=species:S:1:pos:R:3 comment="LaReCl | Alexandria via LeMat-Bulk | GGA-PBE | optimized geometry" dos_ef_per_ev_cell=1.194 pbc="T T T"
Re 4.736 2.734 1.933
Cl 2.368 1.367 0.967
La 0.000 0.000 0.000

#two
3
Lattice="-0.101 1.319 3.190 -1.336 -3.124 -0.620 6.527 -3.085 1.481" Properties=species:S:1:pos:R:3 comment="LaReCl | Alexandria via LeMat-Bulk | GGA-PBE | optimized geometry" dos_ef_per_ev_cell=2.863 pbc="T T T"
Re 3.200 -3.592 1.586
Cl 0.247 -0.117 0.056
La 1.644 -1.181 2.409

Preferred: #two; penalty for the next structure: 196 meV per atom.

#one
4
Lattice="10.510 0.027 0.016 9.914 3.491 0.016 9.914 1.708 3.045" Properties=species:S:1:pos:R:3 comment="La2ReCl | Alexandria via LeMat-Bulk | GGA-PBE | optimized geometry" dos_ef_per_ev_cell=2.660 pbc="T T T"
Re 15.499 2.670 1.572
Cl 22.479 3.872 2.280
La 0.254 0.044 0.026
La 7.274 1.253 0.738

#two
4
Lattice="-0.867 -4.008 -3.108 -3.028 -3.856 1.559 -4.639 -0.649 -2.127" Properties=species:S:1:pos:R:3 comment="La2ReCl | Alexandria via LeMat-Bulk | GGA-PBE | optimized geometry" dos_ef_per_ev_cell=1.417 pbc="T T T"
Re -4.267 -4.257 -1.838
Cl 0.000 0.000 0.000
La -2.134 -2.128 -0.919
La -6.401 -6.385 -2.757

#three
4
Lattice="3.332 -0.001 0.000 -1.358 3.043 0.000 0.000 0.000 10.902" Properties=species:S:1:pos:R:3 comment="La2ReCl | Alexandria via LeMat-Bulk | GGA-PBE | optimized geometry" dos_ef_per_ev_cell=3.993 pbc="T T T"
Re 0.000 0.000 5.191
Cl 0.987 1.521 8.374
La 0.000 0.000 10.518
La 0.987 1.521 3.172

Preferred: #two; penalty for the next structure: 451 meV per atom.

#one
4
Lattice="-2.208 -1.188 -5.333 -4.009 -3.190 -2.914 -3.295 3.633 0.554" Properties=species:S:1:pos:R:3 comment="La2ReCl | Alexandria via LeMat-Bulk | GGA-PBE | optimized geometry" dos_ef_per_ev_cell=2.073 pbc="T T T"
Re -5.241 0.031 -3.875
Cl -2.015 -0.676 -2.059
La -6.609 -3.908 -8.151
La -6.618 -0.940 -5.702

#two
4
Lattice="5.293 0.000 0.000 0.000 5.294 0.000 0.000 0.000 3.425" Properties=species:S:1:pos:R:3 comment="La2ReCl | Alexandria via LeMat-Bulk | GGA-PBE | optimized geometry" dos_ef_per_ev_cell=3.940 pbc="T T T"
Re 2.646 0.000 1.712
Cl 0.000 2.647 1.712
La 0.000 0.000 0.000
La 2.646 2.647 0.000

Preferred: #one; penalty for the next structure: 134 meV per atom.